{
  "formula": "Dy3YErTh",
  "functional": "GGA-PBE",
  "state": "optimized geometry",
  "magmom_total_mub_per_atom": 0.00,
  "formation_enthalpy_0k_ev_per_atom": 0.03,
  "dft_energy_ev_per_fu": -32.10,
  "lattice": [[5.036, 0.000, 0.000], [0.000, 7.829, -1.225], [0.000, -3.203, 10.152]],
  "species": ["Dy", "Dy", "Dy", "Dy", "Dy", "Dy", "Y", "Y", "Er", "Er", "Th", "Th"],
  "fractional_positions": [[0.750, 0.869, 0.044], [0.250, 0.131, 0.956], [0.250, 0.626, 0.457], [0.750, 0.374, 0.543], [0.750, 0.382, 0.208], [0.250, 0.618, 0.792], [0.250, 0.124, 0.292], [0.750, 0.876, 0.708], [0.250, 0.128, 0.628], [0.750, 0.872, 0.372], [0.250, 0.621, 0.122], [0.750, 0.379, 0.878]]
}